[1]
This record from the Alexandria database describes a geometry-optimized NaCeGaAu structure. The functional is GGA-PBE.

## Properties
Formation enthalpy at 0 K   -0.3538 eV per atom
Energy   -3.743 eV per atom
Crystal system   cubic
D(E_F)   28.76 states/eV/cell

Cell lengths 7.1672, 7.1672, 7.1672 Å; angles 90.00, 90.00, 90.00 degrees
Space group F-43m (No. 216)
Asymmetric unit:
Na1 0.0000 0.0000 0.0000
Ce1 0.0000 0.0000 0.5000
Ga1 0.2500 0.2500 0.2500
Au1 0.2500 0.2500 0.7500

***

[2]
This record from the Alexandria database describes a geometry-optimized Hg2WBr structure. The functional is GGA-PBE.

## Properties
Energy   -2.900 eV per atom
Crystal system   tetragonal
Formation energy without anion corrections   0.91 eV/atom
D(E_F)   3.40 states/eV/cell

Cell lengths 5.7061, 5.7061, 2.7501 Å; angles 90.00, 90.00, 90.00 degrees
Space group P4/mmm (No. 123)
Asymmetric unit:
Hg1 0.0000 0.5000 0.0000
W1 0.0000 0.0000 0.5000
Br1 0.5000 0.5000 0.5000

***

[3]
This record from the Alexandria database describes a geometry-optimized BiPd9Au2 structure. The functional is GGA-PBE.

## Properties
Formation enthalpy at 0 K   -0.1153 eV per atom
Energy   -4.880 eV per atom
Crystal system   tetragonal
D(E_F)   14.90 states/eV/cell

Cell lengths 4.0716, 4.0716, 11.9842 Å; angles 90.00, 90.00, 90.00 degrees
Space group P4/mmm (No. 123)
Asymmetric unit:
Bi1 0.0000 0.0000 0.0000
Pd1 0.0000 0.5000 0.1723
Pd2 0.0000 0.5000 0.5000
Pd3 0.5000 0.5000 0.0000
Pd4 0.5000 0.5000 0.3356
Au1 0.0000 0.0000 0.3383

***

[4]
This record from the Alexandria database describes a geometry-optimized CePaW structure. The functional is GGA-PBE.

## Properties
Formation enthalpy at 0 K   0.5813 eV per atom
Energy   -8.880 eV per atom
Crystal system   trigonal
D(E_F)   30.76 states/eV/cell

Cell lengths 4.9055, 4.9055, 20.1929 Å; angles 90.00, 90.00, 120.00 degrees
Space group R-3m (No. 166, hexagonal axes)
Asymmetric unit:
Ce1 0.0000 0.0000 0.1058
Pa1 0.0000 0.0000 0.4290
W1 0.0000 0.0000 0.3026

***

[5]
This record from the Alexandria database describes a geometry-optimized Ac5Te5S2 structure. The functional is GGA-PBE.

## Properties
Energy   -5.451 eV per atom
Crystal system   monoclinic
Formation energy without anion corrections   -1.74 eV/atom
D(E_F)   3.78 states/eV/cell

Cell lengths 15.2628, 4.5579, 13.3082 Å; angles 90.00, 106.80, 90.00 degrees
Space group C2/m (No. 12)
Asymmetric unit:
Ac1 0.0000 0.0000 0.0000
Ac2 0.1064 0.0000 0.4005
Ac3 0.1759 0.5000 0.8004
Te1 0.0000 0.5000 0.5000
Te2 0.1653 0.5000 0.0550
Te3 0.2492 0.5000 0.3529
S1 0.0437 0.0000 0.7943

***

[6]
This record from the Alexandria database describes a geometry-optimized Dy3Ho7Tm2 structure. The functional is GGA-PBE.

## Properties
Formation enthalpy at 0 K   0.3132 eV per atom
Energy   -4.253 eV per atom
Crystal system   monoclinic
D(E_F)   18.40 states/eV/cell

Cell lengths 6.1354, 5.4840, 11.8373 Å; angles 90.00, 92.42, 90.00 degrees
Space group P2/m (No. 10)
Asymmetric unit:
Dy1 0.0000 0.0000 0.0000
Dy2 0.4491 0.5000 0.3355
Ho1 0.0623 0.5000 0.8192
Ho2 0.2645 0.0000 0.5495
Ho3 0.4094 0.0000 0.8341
Ho4 0.5000 0.5000 0.0000
Tm1 0.1183 0.0000 0.2798

***

Number 1: V 23.01 Å³/atom. Number 2: V 22.39 Å³/atom. Number 3: V 16.56 Å³/atom. Number 4: V 23.38 Å³/atom. Number 5: V 36.93 Å³/atom. Number 6: V 33.16 Å³/atom.